No. 1
Here is an optimized crystal structure of TlCo2Hg from Alexandria. Energies are from PBE.

Its total energy is -14.9 eV per formula unit. The value obtained for the total magnetic moment is 3.53 μB/cell. As for the space-group type: No. 160. For the formation energy, the calculation gives 0.5010 eV per atom. For the energy relative to the lowest polymorph listed for this composition, the calculation gives 109 meV/atom.

Structure (extended XYZ):
```
4
Lattice="1.6437 0.9490 8.2082 -1.6437 0.9490 8.2082 0.0000 -1.8979 8.2082" Properties=species:S:1:pos:R:3 pbc="T T T"
Tl 0.0000 0.0000 0.0000
Co 0.0000 0.0000 11.6261
Co 0.0000 0.0000 18.6314
Hg 0.0000 0.0000 5.4877
```

=====

No. 2
Here is an optimized crystal structure of Ba3IrCl2O6 from Alexandria. Energies are from PBE.

Its total energy is -66.9 eV per formula unit. The value obtained for the total magnetic moment is 0.50 μB/cell. As for the space-group type: No. 12. The energy relative to the elements, uncorrected is -1.566 eV per atom.

Structure (extended XYZ):
```
12
Lattice="6.5125 -3.5531 0.0000 6.5125 3.5531 0.0000 -0.4314 0.0000 5.7949" Properties=species:S:1:pos:R:3 pbc="T T T"
Ba 0.0000 0.0000 0.0000
Ba 3.0406 1.7766 2.8975
Ba 3.0406 -1.7766 2.8975
Ir 6.2968 0.0000 2.8975
Cl 2.4652 0.0000 5.2945
Cl 10.1285 0.0000 0.5004
O 5.5393 1.3882 3.9822
O 7.0543 1.3882 1.8127
O 4.6674 0.0000 1.9197
O 7.9262 0.0000 3.8752
O 5.5393 -1.3882 3.9822
O 7.0543 -1.3882 1.8127
```

=====

No. 3
Here is an optimized crystal structure of La2MgTlSb from Alexandria. Energies are from PBE.

Its total energy is -17.1 eV per formula unit. The value obtained for the total magnetic moment is 0.00 μB/cell. As for the space-group type: No. 123. The energy relative to the elements, uncorrected is 0.173 eV per atom.

Structure (extended XYZ):
```
5
Lattice="5.8172 0.0000 0.0000 0.0000 5.8172 0.0000 0.0000 0.0000 5.1683" Properties=species:S:1:pos:R:3 pbc="T T T"
La 0.0000 2.9086 0.0000
La 2.9086 0.0000 0.0000
Mg 0.0000 0.0000 0.0000
Tl 2.9086 2.9086 2.5841
Sb 0.0000 0.0000 2.5841
```

=====

No. 4
Here is an optimized crystal structure of MgU8Se17 from Alexandria. Energies are from PBE.

Its total energy is -181.2 eV per formula unit. The value obtained for the total magnetic moment is 16.00 μB/cell. As for the space-group type: No. 12. The energy relative to the elements, uncorrected is -1.155 eV per atom.

Structure (extended XYZ):
```
26
Lattice="6.9861 -4.3844 0.0000 6.9861 4.3844 0.0000 -2.2640 0.0000 10.7489" Properties=species:S:1:pos:R:3 pbc="T T T"
Mg 0.0000 0.0000 0.0000
U 5.4510 2.2616 3.2360
U 1.7785 0.0000 4.9382
U 6.2571 2.2616 7.5128
U 2.2432 0.0000 10.6105
U 9.4649 0.0000 0.1384
U 5.4510 -2.2616 3.2360
U 9.9296 0.0000 5.8107
U 6.2571 -2.2616 7.5128
Se -1.1320 0.0000 5.3744
Se 4.9874 2.7000 0.3977
Se 0.2991 0.0000 2.5155
Se 4.0007 1.6870 5.7548
Se 1.3637 0.0000 7.7607
Se 3.6373 0.0000 2.6545
Se 6.7208 2.7000 10.3511
Se 7.7075 1.6870 4.9940
Se 4.8210 0.0000 8.9128
Se 6.8872 0.0000 1.8361
Se 4.0007 -1.6870 5.7548
Se 4.9874 -2.7000 0.3977
Se 8.0709 0.0000 8.0943
Se 10.3445 0.0000 2.9882
Se 7.7075 -1.6870 4.9940
Se 11.4091 0.0000 8.2334
Se 6.7208 -2.7000 10.3511
```

=====

No. 5
Here is an optimized crystal structure of CdSbCI2 from Alexandria. Energies are from PBE.

Its total energy is -12.2 eV per formula unit. The value obtained for the total magnetic moment is 0.00 μB/cell. As for the space-group type: No. 123. The energy relative to the elements, uncorrected is 1.023 eV per atom. For the energy relative to the lowest polymorph listed for this composition, the calculation gives 0 meV/atom.

Structure (extended XYZ):
```
5
Lattice="5.2439 0.0000 0.0000 0.0000 5.2439 0.0000 0.0000 0.0000 4.7694" Properties=species:S:1:pos:R:3 pbc="T T T"
Cd 0.0000 0.0000 0.0000
Sb 2.6220 2.6220 0.0000
C 2.6220 2.6220 2.3847
I 0.0000 2.6220 2.3847
I 2.6220 0.0000 2.3847
```

=====

No. 6
Here is an optimized crystal structure of ZnPt4Cl from Alexandria. Energies are from PBE.

Its total energy is -25.3 eV per formula unit. The value obtained for the total magnetic moment is 0.00 μB/cell. As for the space-group type: No. 216. The energy relative to the elements, uncorrected is 0.330 eV per atom.

Structure (extended XYZ):
```
6
Lattice="0.0000 3.7680 3.7680 3.7680 0.0000 3.7680 3.7680 3.7680 0.0000" Properties=species:S:1:pos:R:3 pbc="T T T"
Zn 0.0000 0.0000 0.0000
Pt 2.8232 2.8232 2.8232
Pt 4.7127 4.7127 2.8232
Pt 4.7127 2.8232 4.7127
Pt 2.8232 4.7127 4.7127
Cl 5.6519 5.6519 5.6519
```

=====

No. 7
Here is an optimized crystal structure of Sm2Fe17N2 from Alexandria. Energies are from PBE.

Its total energy is -173.0 eV per formula unit. The value obtained for the total magnetic moment is 39.07 μB/cell. As for the space-group type: No. 12. The energy relative to the elements, uncorrected is -0.143 eV per atom.

Structure (extended XYZ):
```
21
Lattice="4.8438 -4.3210 0.0000 4.8438 4.3210 0.0000 -0.9528 0.0000 6.4667" Properties=species:S:1:pos:R:3 pbc="T T T"
Sm 1.1908 0.0000 2.2251
Sm 7.5440 0.0000 4.2416
Fe 2.4219 2.1605 0.0000
Fe 0.6852 0.0000 5.5484
Fe 3.5614 2.1138 2.1912
Fe 4.8438 2.4718 0.0000
Fe 2.7890 1.2279 4.6401
Fe 5.1735 2.1138 4.2755
Fe 3.8223 0.0000 0.6102
Fe 5.9458 1.2279 1.8265
Fe 2.4219 -2.1605 0.0000
Fe 4.3674 0.0000 3.2333
Fe 2.7890 -1.2279 4.6401
Fe 4.9125 0.0000 5.8565
Fe 3.5614 -2.1138 2.1912
Fe 5.9458 -1.2279 1.8265
Fe 4.8438 -2.4718 0.0000
Fe 5.1735 -2.1138 4.2755
Fe 8.0496 0.0000 0.9182
N 1.9455 2.1605 3.2333
N 1.9455 -2.1605 3.2333
```

=====

No. 8
Here is an optimized crystal structure of MgZr2Au from Alexandria. Energies are from PBE.

Its total energy is -22.9 eV per formula unit. The value obtained for the total magnetic moment is 0.00 μB/cell. As for the space-group type: No. 8. For the formation energy, the calculation gives -0.2426 eV per atom.

Structure (extended XYZ):
```
4
Lattice="5.3656 -1.6059 0.0000 5.3656 1.6059 0.0000 -2.1053 0.0000 4.8495" Properties=species:S:1:pos:R:3 pbc="T T T"
Mg 0.0000 0.0000 0.0000
Zr 4.6608 0.0000 2.5546
Zr 7.5827 0.0000 1.7503
Au 1.0604 0.0000 4.2875
```

=====

No. 9
Here is an optimized crystal structure of ReHgW2 from Alexandria. Energies are from PBE.

Its total energy is -36.2 eV per formula unit. The value obtained for the total magnetic moment is 0.00 μB/cell. As for the space-group type: No. 99. For the formation energy, the calculation gives 0.6100 eV per atom.

Structure (extended XYZ):
```
4
Lattice="2.9296 0.0000 0.0000 0.0000 2.9296 0.0000 0.0000 0.0000 8.0143" Properties=species:S:1:pos:R:3 pbc="T T T"
Re 0.0000 0.0000 0.0000
Hg 1.4648 1.4648 5.8031
W 0.0000 0.0000 3.6248
W 1.4648 1.4648 1.6320
```

=====

No. 10
Here is an optimized crystal structure of Ba2MgSe from Alexandria. Energies are from PBE.

Its total energy is -11.4 eV per formula unit. The value obtained for the total magnetic moment is 0.00 μB/cell. As for the space-group type: No. 225. The energy relative to the elements, uncorrected is -0.613 eV per atom. For the energy relative to the lowest polymorph listed for this composition, the calculation gives 265 meV/atom.

Structure (extended XYZ):
```
4
Lattice="0.0000 4.1852 4.1852 4.1852 0.0000 4.1852 4.1852 4.1852 0.0000" Properties=species:S:1:pos:R:3 pbc="T T T"
Ba 2.0926 2.0926 2.0926
Ba 6.2777 6.2777 6.2777
Mg 0.0000 0.0000 0.0000
Se 4.1852 4.1852 4.1852
```

=====

No. 11
Here is an optimized crystal structure of YSi2Pt2 from Alexandria. Energies are from PBE.

Its total energy is -34.6 eV per formula unit. The value obtained for the total magnetic moment is 0.00 μB/cell. As for the space-group type: No. 139. The energy relative to the elements, uncorrected is -1.042 eV per atom.

Structure (extended XYZ):
```
5
Lattice="-2.1065 2.1065 4.9039 2.1065 -2.1065 4.9039 2.1065 2.1065 -4.9039" Properties=species:S:1:pos:R:3 pbc="T T T"
Y 0.0000 0.0000 0.0000
Si 0.0000 0.0000 3.7319
Si 0.0000 0.0000 6.0759
Pt 2.1065 0.0000 2.4520
Pt 0.0000 2.1065 2.4520
```

=====

No. 12
Here is an optimized crystal structure of KV2Pb from Alexandria. Energies are from PBE.

Its total energy is -18.6 eV per formula unit. The value obtained for the total magnetic moment is 2.54 μB/cell. As for the space-group type: No. 141. For the formation energy, the calculation gives 1.1048 eV per atom.

Structure (extended XYZ):
```
8
Lattice="-2.3274 2.3274 10.1701 2.3274 -2.3274 10.1701 2.3274 2.3274 -10.1701" Properties=species:S:1:pos:R:3 pbc="T T T"
K 2.3274 1.1637 2.5425
K 0.0000 1.1637 7.6276
V 0.0000 0.0000 0.0000
V 1.1637 1.1637 -5.0851
V 1.1637 -1.1637 5.0851
V 0.0000 2.3274 0.0000
Pb 2.3274 -1.1637 7.6276
Pb 0.0000 3.4911 2.5425
```

=====

No. 13
Here is an optimized crystal structure of HoGa3CoCu from Alexandria. Energies are from PBE.

Its total energy is -25.9 eV per formula unit. The value obtained for the total magnetic moment is 0.00 μB/cell. As for the space-group type: No. 63. For the formation energy, the calculation gives -0.1718 eV per atom.

Structure (extended XYZ):
```
12
Lattice="3.0944 -5.7629 0.0000 3.0944 5.7629 0.0000 0.0000 0.0000 5.8815" Properties=species:S:1:pos:R:3 pbc="T T T"
Ho 3.0944 3.2603 4.4111
Ho 3.0944 -3.2603 1.4704
Ga 1.2696 0.0000 0.0000
Ga 1.2696 0.0000 2.9407
Ga 3.0944 1.9694 1.4704
Ga 3.0944 -1.9694 4.4111
Ga 4.9192 0.0000 0.0000
Ga 4.9192 0.0000 2.9407
Co 3.0944 4.2843 1.4704
Co 3.0944 -4.2843 4.4111
Cu 3.0944 0.5289 4.4111
Cu 3.0944 -0.5289 1.4704
```

=====

No. 14
Here is an optimized crystal structure of Na3LaN6 from Alexandria. Energies are from PBE.

Its total energy is -43.3 eV per formula unit. The value obtained for the total magnetic moment is 24.00 μB/cell. As for the space-group type: No. 70. The energy relative to the elements, uncorrected is 1.555 eV per atom.

Structure (extended XYZ):
```
20
Lattice="0.0000 5.5911 10.7655 3.6898 0.0000 10.7655 3.6898 5.5911 0.0000" Properties=species:S:1:pos:R:3 pbc="T T T"
Na 0.9224 1.3978 2.6914
Na 2.7673 4.1933 4.5124
Na 4.6122 6.9889 9.8952
Na 2.7673 4.1933 11.6358
Na 4.6122 6.9889 17.0186
Na 6.4571 9.7845 18.8396
La 2.7673 4.1933 8.0741
La 4.6122 6.9889 13.4569
N 4.4811 3.7808 6.5253
N 2.7673 1.6958 8.0741
N 4.4811 4.6059 9.6230
N 6.3260 7.4014 11.9080
N 4.6122 4.4913 13.4569
N 6.3260 6.5764 15.0058
N 1.0536 4.6059 6.5253
N 2.7673 6.6909 8.0741
N 1.0536 3.7808 9.6230
N 2.8985 6.5764 11.9080
N 4.6122 9.4865 13.4569
N 2.8985 7.4014 15.0058
```

=====

No. 15
Here is an optimized crystal structure of Ti2Ge2I from Alexandria. Energies are from PBE.

Its total energy is -27.4 eV per formula unit. The value obtained for the total magnetic moment is 0.00 μB/cell. As for the space-group type: No. 139. The energy relative to the elements, uncorrected is -0.157 eV per atom. For the energy relative to the lowest polymorph listed for this composition, the calculation gives 41 meV/atom.

Structure (extended XYZ):
```
5
Lattice="-1.8593 1.8593 6.9429 1.8593 -1.8593 6.9429 1.8593 1.8593 -6.9429" Properties=species:S:1:pos:R:3 pbc="T T T"
Ti 0.0000 0.0000 1.5292
Ti 0.0000 0.0000 12.3566
Ge 1.8593 0.0000 3.4714
Ge 0.0000 1.8593 3.4714
I 0.0000 0.0000 6.9429
```

=====

No. 16
Here is an optimized crystal structure of La2MgCdIr from Alexandria. Energies are from PBE.

Its total energy is -23.2 eV per formula unit. The value obtained for the total magnetic moment is 0.00 μB/cell. As for the space-group type: No. 123. For the formation energy, the calculation gives -0.3977 eV per atom. For the energy relative to the lowest polymorph listed for this composition, the calculation gives 0 meV/atom.

Structure (extended XYZ):
```
5
Lattice="5.5234 0.0000 0.0000 0.0000 5.5234 0.0000 0.0000 0.0000 5.1761" Properties=species:S:1:pos:R:3 pbc="T T T"
La 0.0000 2.7617 0.0000
La 2.7617 0.0000 0.0000
Mg 0.0000 0.0000 2.5881
Cd 2.7617 2.7617 2.5881
Ir 0.0000 0.0000 0.0000
```

=====

No. 17
Here is an optimized crystal structure of Na4Np3AuSe8 from Alexandria. Energies are from PBE.

Its total energy is -91.5 eV per formula unit. The value obtained for the total magnetic moment is 9.98 μB/cell. As for the space-group type: No. 12. The energy relative to the elements, uncorrected is -1.018 eV per atom.

Structure (extended XYZ):
```
16
Lattice="7.2204 -4.0970 0.0000 7.2204 4.0970 0.0000 -4.7827 0.0000 6.9885" Properties=species:S:1:pos:R:3 pbc="T T T"
Na 0.0000 0.0000 0.0000
Na 3.6102 2.0485 0.0000
Na 3.6102 -2.0485 0.0000
Na 7.2204 0.0000 0.0000
Np -2.3913 0.0000 3.4943
Np 1.2189 2.0485 3.4943
Np 1.2189 -2.0485 3.4943
Au 4.8291 0.0000 3.4943
Se 3.6118 2.0485 5.0688
Se 0.0041 0.0000 5.1139
Se 2.2998 0.0000 1.8533
Se 6.0464 2.0485 1.9197
Se 3.6118 -2.0485 5.0688
Se 7.3584 0.0000 5.1352
Se 9.6540 0.0000 1.8746
Se 6.0464 -2.0485 1.9197
```

=====

No. 18
Here is an optimized crystal structure of Y6HoTl from Alexandria. Energies are from PBE.

Its total energy is -46.3 eV per formula unit. The value obtained for the total magnetic moment is 0.00 μB/cell. As for the space-group type: No. 123. For the formation energy, the calculation gives -0.0768 eV per atom. For the energy relative to the lowest polymorph listed for this composition, the calculation gives 0 meV/atom.

Structure (extended XYZ):
```
8
Lattice="4.9184 0.0000 0.0000 0.0000 4.9184 0.0000 0.0000 0.0000 10.1153" Properties=species:S:1:pos:R:3 pbc="T T T"
Y 0.0000 0.0000 0.0000
Y 0.0000 0.0000 5.0576
Y 0.0000 2.4592 2.4811
Y 0.0000 2.4592 7.6342
Y 2.4592 0.0000 2.4811
Y 2.4592 0.0000 7.6342
Ho 2.4592 2.4592 5.0576
Tl 2.4592 2.4592 0.0000
```

=====

No. 19
Here is an optimized crystal structure of K2MnTl from Alexandria. Energies are from PBE.

Its total energy is -11.4 eV per formula unit. The value obtained for the total magnetic moment is 4.39 μB/cell. As for the space-group type: No. 123. For the formation energy, the calculation gives 0.5930 eV per atom. For the energy relative to the lowest polymorph listed for this composition, the calculation gives 252 meV/atom.

Structure (extended XYZ):
```
4
Lattice="6.4882 0.0000 0.0000 0.0000 6.4882 0.0000 0.0000 0.0000 3.5676" Properties=species:S:1:pos:R:3 pbc="T T T"
K 0.0000 3.2441 0.0000
K 3.2441 0.0000 0.0000
Mn 0.0000 0.0000 1.7838
Tl 3.2441 3.2441 1.7838
```

=====

No. 20
Here is an optimized crystal structure of ZrIrRu2 from Alexandria. Energies are from PBE.

Its total energy is -36.8 eV per formula unit. The value obtained for the total magnetic moment is 0.00 μB/cell. As for the space-group type: No. 12. For the formation energy, the calculation gives -0.2098 eV per atom. For the energy relative to the lowest polymorph listed for this composition, the calculation gives 139 meV/atom.

Structure (extended XYZ):
```
4
Lattice="4.6260 -1.4379 0.0000 4.6260 1.4379 0.0000 -0.9235 0.0000 4.7923" Properties=species:S:1:pos:R:3 pbc="T T T"
Zr 0.0000 0.0000 0.0000
Ir 4.1643 0.0000 2.3962
Ru 1.5723 0.0000 3.4568
Ru 6.7562 0.0000 1.3355
```